1.
# Pm3Ge4Ru2 | Alexandria via LeMat-Bulk | GGA-PBE | optimized geometry
data_Pm3Ge4Ru2
_chemical_formula_sum 'Pm3 Ge4 Ru2'
_symmetry_space_group_name_H-M 'P 1'
_symmetry_Int_Tables_number 1
_cell_length_a 5.928
_cell_length_b 5.928
_cell_length_c 8.342
_cell_angle_alpha 107.70
_cell_angle_beta 107.70
_cell_angle_gamma 43.40
loop_
_symmetry_equiv_pos_as_xyz
'x,y,z'
loop_
_atom_site_label
_atom_site_type_symbol
_atom_site_fract_x
_atom_site_fract_y
_atom_site_fract_z
_atom_site_occupancy
Pm1 Pm 0.000 0.000 0.000 1
Pm2 Pm 0.380 0.380 0.303 1
Pm3 Pm 0.620 0.620 0.697 1
Ge1 Ge 0.100 0.100 0.403 1
Ge2 Ge 0.288 0.288 0.920 1
Ge3 Ge 0.712 0.712 0.080 1
Ge4 Ge 0.900 0.900 0.597 1
Ru1 Ru 0.315 0.315 0.639 1
Ru2 Ru 0.685 0.685 0.361 1
# - formation energy (eV per atom) = -0.739

=====

2.
# PmGe4Ru4 | Alexandria via LeMat-Bulk | GGA-PBE | optimized geometry
data_PmGe4Ru4
_chemical_formula_sum 'Pm2 Ge8 Ru8'
_symmetry_space_group_name_H-M 'P 1'
_symmetry_Int_Tables_number 1
_cell_length_a 6.104
_cell_length_b 6.104
_cell_length_c 8.275
_cell_angle_alpha 90.00
_cell_angle_beta 90.00
_cell_angle_gamma 90.00
loop_
_symmetry_equiv_pos_as_xyz
'x,y,z'
loop_
_atom_site_label
_atom_site_type_symbol
_atom_site_fract_x
_atom_site_fract_y
_atom_site_fract_z
_atom_site_occupancy
Pm1 Pm 0.250 0.750 0.250 1
Pm2 Pm 0.750 0.250 0.750 1
Ge1 Ge 0.044 0.250 0.069 1
Ge2 Ge 0.250 0.044 0.569 1
Ge3 Ge 0.250 0.456 0.569 1
Ge4 Ge 0.456 0.250 0.069 1
Ge5 Ge 0.544 0.750 0.931 1
Ge6 Ge 0.750 0.544 0.431 1
Ge7 Ge 0.750 0.956 0.431 1
Ge8 Ge 0.956 0.750 0.931 1
Ru1 Ru 0.011 0.250 0.368 1
Ru2 Ru 0.250 0.011 0.868 1
Ru3 Ru 0.250 0.489 0.868 1
Ru4 Ru 0.489 0.250 0.368 1
Ru5 Ru 0.511 0.750 0.632 1
Ru6 Ru 0.750 0.511 0.132 1
Ru7 Ru 0.750 0.989 0.132 1
Ru8 Ru 0.989 0.750 0.632 1
# - formation energy (eV per atom) = -0.349

=====

3.
# Pm4Ge6Ru7 | Alexandria via LeMat-Bulk | GGA-PBE | optimized geometry
data_Pm4Ge6Ru7
_chemical_formula_sum 'Pm4 Ge6 Ru7'
_symmetry_space_group_name_H-M 'P 1'
_symmetry_Int_Tables_number 1
_cell_length_a 7.353
_cell_length_b 7.353
_cell_length_c 7.353
_cell_angle_alpha 109.47
_cell_angle_beta 109.47
_cell_angle_gamma 109.47
loop_
_symmetry_equiv_pos_as_xyz
'x,y,z'
loop_
_atom_site_label
_atom_site_type_symbol
_atom_site_fract_x
_atom_site_fract_y
_atom_site_fract_z
_atom_site_occupancy
Pm1 Pm 0.000 0.000 0.500 1
Pm2 Pm 0.000 0.500 0.000 1
Pm3 Pm 0.500 0.000 0.000 1
Pm4 Pm 0.500 0.500 0.500 1
Ge1 Ge 0.000 0.320 0.320 1
Ge2 Ge 0.000 0.680 0.680 1
Ge3 Ge 0.320 0.000 0.320 1
Ge4 Ge 0.320 0.320 0.000 1
Ge5 Ge 0.680 0.000 0.680 1
Ge6 Ge 0.680 0.680 0.000 1
Ru1 Ru 0.000 0.000 0.000 1
Ru2 Ru 0.250 0.500 0.750 1
Ru3 Ru 0.250 0.750 0.500 1
Ru4 Ru 0.500 0.250 0.750 1
Ru5 Ru 0.500 0.750 0.250 1
Ru6 Ru 0.750 0.250 0.500 1
Ru7 Ru 0.750 0.500 0.250 1
# - formation energy (eV per atom) = -0.549

=====

4.
# Pm2GeRu | Alexandria via LeMat-Bulk | GGA-PBE | optimized geometry
data_Pm2GeRu
_chemical_formula_sum 'Pm2 Ge1 Ru1'
_symmetry_space_group_name_H-M 'P 1'
_symmetry_Int_Tables_number 1
_cell_length_a 3.940
_cell_length_b 5.966
_cell_length_c 5.966
_cell_angle_alpha 42.91
_cell_angle_beta 90.00
_cell_angle_gamma 90.00
loop_
_symmetry_equiv_pos_as_xyz
'x,y,z'
loop_
_atom_site_label
_atom_site_type_symbol
_atom_site_fract_x
_atom_site_fract_y
_atom_site_fract_z
_atom_site_occupancy
Pm1 Pm 0.000 0.000 0.000 1
Pm2 Pm 0.500 0.280 0.280 1
Ge1 Ge 0.500 0.580 0.580 1
Ru1 Ru 0.000 0.728 0.728 1
# - formation energy (eV per atom) = -0.556